# HoAgTe3Pb | OQMD via LeMat-Bulk | GGA-PBE | relaxed
data_HoAgTe3Pb
_chemical_formula_sum 'Ho4 Ag4 Te12 Pb4'
_symmetry_space_group_name_H-M 'C 1 2/m 1'
_symmetry_Int_Tables_number 12
_symmetry_space_group_name_Hall '-C 2y'
_cell_length_a 19.557
_cell_length_b 4.343
_cell_length_c 9.015
_cell_angle_alpha 90.00
_cell_angle_beta 102.17
_cell_angle_gamma 90.00
loop_
_atom_site_label
_atom_site_fract_x
_atom_site_fract_y
_atom_site_fract_z
_atom_site_occupancy
Ho1 0.163 0.000 0.089 1
Ag1 0.041 0.500 0.213 1
Te1 0.000 0.000 0.000 1
Te2 0.000 0.500 0.500 1
Te3 0.175 0.500 0.855 1
Te4 0.186 0.500 0.337 1
Pb1 0.129 0.000 0.573 1
# Calculated volume = 31.19 A^3/atom
# Total moment = 0.0030 μB/atom
# DFT total energy = -4.1209 eV/atom